Run a
## Sn2GePt (PBE)

Data for an optimized crystal structure of Sn2GePt.

a = 6.9784 Å, b = 6.9784 Å, c = 6.9784 Å
α = 90.00°, β = 90.00°, γ = 90.00°
Sites, in units of the cell vectors:
Sn  0.2500  0.2500  0.2500
Sn  0.2500  0.2500  0.7500
Sn  0.2500  0.7500  0.2500
Sn  0.2500  0.7500  0.7500
Sn  0.7500  0.2500  0.2500
Sn  0.7500  0.2500  0.7500
Sn  0.7500  0.7500  0.2500
Sn  0.7500  0.7500  0.7500
Ge  0.0000  0.0000  0.0000
Ge  0.0000  0.5000  0.5000
Ge  0.5000  0.0000  0.5000
Ge  0.5000  0.5000  0.0000
Pt  0.0000  0.0000  0.5000
Pt  0.0000  0.5000  0.0000
Pt  0.5000  0.0000  0.0000
Pt  0.5000  0.5000  0.5000

Computed properties:
The value obtained for the total magnetization is 0.000 μB/atom. Its symmetry is Fm-3m, No. 225. Its theoretical density is 9.87 g cm⁻³.



Run b
## Sn2GePt (PBE)

Data for an optimized crystal structure of Sn2GePt.

a = 6.1259 Å, b = 6.1259 Å, c = 12.3862 Å
α = 90.00°, β = 90.00°, γ = 90.00°
Sites, in units of the cell vectors:
Sn  0.2342  0.2500  0.1250
Sn  0.2500  0.7342  0.3750
Sn  0.2500  0.7658  0.8750
Sn  0.2658  0.2500  0.6250
Sn  0.7342  0.7500  0.6250
Sn  0.7500  0.2342  0.8750
Sn  0.7500  0.2658  0.3750
Sn  0.7658  0.7500  0.1250
Ge  0.0000  0.0000  0.5000
Ge  0.0000  0.5000  0.7500
Ge  0.5000  0.0000  0.2500
Ge  0.5000  0.5000  0.0000
Pt  0.0000  0.0000  0.0000
Pt  0.0000  0.5000  0.2500
Pt  0.5000  0.0000  0.7500
Pt  0.5000  0.5000  0.5000

Computed properties:
The value obtained for the total magnetization is 0.000 μB/atom. Its symmetry is I-42d, No. 122. Its theoretical density is 7.22 g cm⁻³.



Decreasing stability: run b, run a



Run a
## SnGePt6 (PBE)

Data for an optimized crystal structure of SnGePt6.

a = 7.6721 Å, b = 5.5496 Å, c = 7.3491 Å
α = 90.00°, β = 112.59°, γ = 90.00°
Sites, in units of the cell vectors:
Sn  0.0000  0.0000  0.0000
Sn  0.5000  0.5000  0.0000
Ge  0.0000  0.5000  0.5000
Ge  0.5000  0.0000  0.5000
Pt  0.1645  0.0000  0.4543
Pt  0.1862  0.2404  0.7937
Pt  0.1862  0.7596  0.7937
Pt  0.3138  0.2596  0.2063
Pt  0.3138  0.7404  0.2063
Pt  0.3355  0.5000  0.5457
Pt  0.6645  0.5000  0.4543
Pt  0.6862  0.2596  0.7937
Pt  0.6862  0.7404  0.7937
Pt  0.8138  0.2404  0.2063
Pt  0.8138  0.7596  0.2063
Pt  0.8355  0.0000  0.5457

Computed properties:
The value obtained for the total magnetization is 0.000 μB/atom. Its symmetry is C2/m, No. 12. Its theoretical density is 15.66 g cm⁻³.



Run b
## SnGePt6 (PBE)

Data for an optimized crystal structure of SnGePt6.

a = 4.0227 Å, b = 4.0227 Å, c = 8.0097 Å
α = 90.00°, β = 90.00°, γ = 90.00°
Sites, in units of the cell vectors:
Sn  0.0000  0.0000  0.0000
Ge  0.0000  0.0000  0.5000
Pt  0.0000  0.5000  0.2573
Pt  0.0000  0.5000  0.7427
Pt  0.5000  0.0000  0.2573
Pt  0.5000  0.0000  0.7427
Pt  0.5000  0.5000  0.0000
Pt  0.5000  0.5000  0.5000

Computed properties:
The value obtained for the total magnetization is 0.000 μB/atom. Its symmetry is P4/mmm, No. 123. Its theoretical density is 17.45 g cm⁻³.



Decreasing stability: run b, run a



Run a
## Sr3Ge2Pt4 (PBE)

Data for an optimized crystal structure of Sr3Ge2Pt4.

a = 6.2663 Å, b = 6.2663 Å, c = 8.7458 Å
α = 100.26°, β = 100.26°, γ = 40.51°
Sites, in units of the cell vectors:
Sr  0.0000  0.0000  0.0000
Sr  0.3377  0.3377  0.3240
Sr  0.6623  0.6623  0.6760
Ge  0.3839  0.3839  0.7111
Ge  0.6161  0.6161  0.2889
Pt  0.0632  0.0632  0.3830
Pt  0.2865  0.2865  0.9314
Pt  0.7135  0.7135  0.0686
Pt  0.9368  0.9368  0.6170

Computed properties:
The value obtained for the total magnetization is 0.000 μB/atom. Its symmetry is C2/m, No. 12. Its theoretical density is 9.01 g cm⁻³.



Run b
## Sr3Ge2Pt4 (PBE)

Data for an optimized crystal structure of Sr3Ge2Pt4.

a = 6.1745 Å, b = 6.1745 Å, c = 9.2651 Å
α = 110.77°, β = 110.77°, γ = 41.06°
Sites, in units of the cell vectors:
Sr  0.0000  0.0000  0.0000
Sr  0.3836  0.3836  0.3063
Sr  0.6164  0.6164  0.6937
Ge  0.3396  0.3396  0.7015
Ge  0.6604  0.6604  0.2985
Pt  0.1613  0.1613  0.4280
Pt  0.2773  0.2773  0.9301
Pt  0.7227  0.7227  0.0699
Pt  0.8387  0.8387  0.5720

Computed properties:
The value obtained for the total magnetization is 0.000 μB/atom. Its symmetry is C2/m, No. 12. Its theoretical density is 9.19 g cm⁻³.



Decreasing stability: run b, run a